Compound: SrAc5P6
Source: Alexandria
Functional: PBE
Structure: optimized geometry

a = 7.6956 Å, b = 7.6956 Å, c = 7.6885 Å
α = 99.59°, β = 99.59°, γ = 119.99°
Positions (direct):
Sr (0.0000, 0.0000, 0.0000)
Ac (0.8348, 0.1652, 0.5000)
Ac (0.6667, 0.3333, 0.0000)
Ac (0.5000, 0.5000, 0.5000)
Ac (0.3333, 0.6667, 0.0000)
Ac (0.1652, 0.8348, 0.5000)
P (0.4230, 0.0840, 0.2520)
P (0.9160, 0.5770, 0.7480)
P (0.2547, 0.2547, 0.7473)
P (0.7453, 0.7453, 0.2527)
P (0.0840, 0.4230, 0.2520)
P (0.5770, 0.9160, 0.7480)

Its crystal system is monoclinic. The calculation puts the calculated density at 6.3 g/cm³. The calculation puts the formation energy at -1349 meV/atom. Its space group is C2/m. For the total energy, the calculation gives -70.9 eV per formula unit.